! GdDy3Tc (PBE, relaxed); values from VASP
&SYSTEM
  ibrav = 0, nat = 5, ntyp = 3
/
ATOMIC_SPECIES
Gd 157.25 Gd.upf
Tc 98.00 Tc.upf
Dy 162.50 Dy.upf
CELL_PARAMETERS angstrom
-2.687 -4.661 0.118
4.553 -2.652 -1.091
1.003 -0.445 5.268
ATOMIC_POSITIONS crystal
Gd 0.500 0.500 0.500
Tc 0.000 0.000 0.000
Dy 0.000 0.500 0.000
Dy 0.000 0.000 0.500
Dy 0.500 0.000 0.000
! Space group = No. 221
! Energy relative to the elements = 0.126 eV/atom
! D(E_F) = 1.850 states/eV/atom
! Calculated total energy = -7.525 eV per atom